First-principles (PBE with a Hubbard U) data for a geometry-optimized PuVF5 structure, as listed in Alexandria via LeMat-Bulk.

```
data_PuVF5
_symmetry_space_group_name_H-M 'C 1 2/c 1'
_symmetry_Int_Tables_number 15
_cell_length_a 8.2763
_cell_length_b 9.2314
_cell_length_c 7.2288
_cell_angle_alpha 90.00
_cell_angle_beta 115.61
_cell_angle_gamma 90.00
loop_
_symmetry_equiv_pos_as_xyz
'x,y,z'
'-x,-y,-z'
'-x,y,-z+1/2'
'x,-y,z+1/2'
'x+1/2,y+1/2,z'
'-x+1/2,-y+1/2,-z'
'-x+1/2,y+1/2,-z+1/2'
'x+1/2,-y+1/2,z+1/2'
loop_
_atom_site_label
_atom_site_type_symbol
_atom_site_fract_x
_atom_site_fract_y
_atom_site_fract_z
Pu1 Pu 0.0000 0.0811 0.2500
V1 V 0.2500 0.2500 0.0000
F1 F 0.0000 0.1997 0.7500
F2 F 0.1508 0.2747 0.2171
F3 F 0.1862 0.0309 0.0584
```

Computed properties:
Total DFT energy (no corrections) (eV per atom): -7.51
DOS at the Fermi energy (states/eV/f.u.): 9.7
Volume (A^3/atom): 17.79